Material: Ac8Hg2N3
Method: DFT, PBE
State: relaxed

Final energy, eV for the cell shown: -65.47
D(E_F), states/eV/cell: 11.50

abc: 7.166 7.864 8.344
angles: 118.12 88.99 90.00
Sites, in units of the cell vectors:
N: 0.000 0.752 0.000
N: 0.500 0.000 0.000
N: 0.000 0.248 0.000
Ac: 0.317 0.326 0.188
Ac: 0.884 0.612 0.225
Ac: 0.683 0.138 0.812
Ac: 0.843 0.108 0.215
Ac: 0.683 0.674 0.812
Ac: 0.116 0.388 0.775
Ac: 0.317 0.862 0.188
Ac: 0.157 0.892 0.785
Hg: 0.492 0.263 0.526
Hg: 0.508 0.737 0.474

***

Material: Ac7Hg2N2
Method: DFT, PBE
State: relaxed

Final energy, eV for the cell shown: -50.29
D(E_F), states/eV/cell: 9.88

abc: 7.612 7.015 7.612
angles: 89.52 117.39 90.48
Sites, in units of the cell vectors:
N: 0.225 0.044 0.775
N: 0.775 0.956 0.225
Ac: 0.056 0.768 0.478
Ac: 0.571 0.777 0.429
Ac: 0.944 0.232 0.522
Ac: 0.429 0.223 0.571
Ac: 0.522 0.768 0.944
Ac: 0.000 0.000 0.000
Ac: 0.478 0.232 0.056
Hg: 0.179 0.500 0.179
Hg: 0.821 0.500 0.821

***

Material: Ac2HgN
Method: DFT, PBE
State: relaxed

Final energy, eV for the cell shown: -19.46
D(E_F), states/eV/cell: 4.06

abc: 3.931 3.931 8.644
angles: 90.02 103.20 119.80
Sites, in units of the cell vectors:
Hg: 0.000 0.500 0.500
Ac: 0.546 0.272 0.819
Ac: 0.454 0.728 0.181
N: 0.000 0.000 0.000

***

Material: Ac4HgN
Method: DFT, PBE
State: relaxed

Final energy, eV for the cell shown: -27.45
D(E_F), states/eV/cell: 5.08

abc: 3.975 7.373 7.373
angles: 93.11 90.00 90.00
Sites, in units of the cell vectors:
Ac: 0.000 0.179 0.179
Ac: 0.500 0.251 0.749
Ac: 0.000 0.821 0.821
Ac: 0.500 0.749 0.251
Hg: 0.000 0.500 0.500
N: 0.500 0.000 0.000

***

Material: Ac4Hg3N
Method: DFT, PBE
State: relaxed

Final energy, eV for the cell shown: -121.52
D(E_F), states/eV/cell: 29.17

abc: 9.802 10.210 10.721
angles: 90.00 90.00 90.00
Sites, in units of the cell vectors:
Ac: 0.812 0.026 0.062
Ac: 0.688 0.526 0.562
Ac: 0.037 0.579 0.750
Ac: 0.688 0.526 0.938
Ac: 0.833 0.233 0.750
Ac: 0.812 0.026 0.438
Ac: 0.188 0.974 0.562
Ac: 0.312 0.474 0.438
Ac: 0.667 0.733 0.250
Ac: 0.312 0.474 0.062
Ac: 0.537 0.921 0.750
Ac: 0.963 0.421 0.250
Ac: 0.188 0.974 0.938
Ac: 0.463 0.079 0.250
Ac: 0.167 0.767 0.250
Ac: 0.333 0.267 0.750
Hg: 0.942 0.720 0.027
Hg: 0.558 0.220 0.973
Hg: 0.896 0.895 0.750
Hg: 0.058 0.280 0.527
Hg: 0.604 0.395 0.250
Hg: 0.942 0.720 0.473
Hg: 0.558 0.220 0.527
Hg: 0.104 0.105 0.250
Hg: 0.442 0.780 0.473
Hg: 0.396 0.605 0.750
Hg: 0.442 0.780 0.027
Hg: 0.058 0.280 0.973
N: 0.811 0.472 0.750
N: 0.689 0.972 0.250
N: 0.311 0.028 0.750
N: 0.189 0.528 0.250

***

Material: AcHgN
Method: DFT, PBE
State: relaxed

Final energy, eV for the cell shown: -28.46
D(E_F), states/eV/cell: 1.97

abc: 4.149 5.267 8.473
angles: 108.11 104.17 90.00
Sites, in units of the cell vectors:
Hg: 0.500 0.752 0.000
Hg: 0.500 0.248 0.000
Ac: 0.811 0.311 0.622
Ac: 0.189 0.689 0.378
N: 0.231 0.231 0.462
N: 0.769 0.769 0.538